Entry from the Alexandria database: CdSiMo2 at its PBEsol-relaxed geometry (SCAN).

## Properties
E_form (uncorrected) (kcal/mol of atoms): 10.2

CIF file:
```
data_CdSiMo2
_chemical_formula_sum 'Cd1 Si1 Mo2'
_cell_length_a 2.7676
_cell_length_b 4.7093
_cell_length_c 4.7093
_cell_angle_alpha 90.00
_cell_angle_beta 90.00
_cell_angle_gamma 90.00
_symmetry_space_group_name_H-M 'P 1'
_symmetry_Int_Tables_number 1
_symmetry_space_group_name_Hall 'P 1'
loop_
_atom_site_label
_atom_site_fract_x
_atom_site_fract_y
_atom_site_fract_z
_atom_site_occupancy
Cd1 0.5000 0.0000 0.0000 1
Mo1 0.0000 0.0000 0.5000 1
Mo2 0.0000 0.5000 0.0000 1
Si1 0.5000 0.5000 0.5000 1
```